1.
Computed, not measured: PmHo2Be after structural relaxation at the GGA-PBE level of DFT.

ΔE to the lowest computed polymorph: 638 meV/atom
space-group type: R-3m (166)
calculated formation energy: 0.702 eV/atom

a b c (Å): 3.459 3.459 34.195
angles (deg): 90.00 90.00 120.00
Element x y z (fractional)
Pm1 0.000 0.000 0.000
Pm2 0.333 0.667 0.667
Pm3 0.667 0.333 0.333
Ho1 0.000 0.000 0.416
Ho2 0.000 0.000 0.584
Ho3 0.333 0.667 0.083
Ho4 0.333 0.667 0.250
Ho5 0.667 0.333 0.750
Ho6 0.667 0.333 0.917
Be1 0.000 0.000 0.500
Be2 0.333 0.667 0.167
Be3 0.667 0.333 0.833


2.
Computed, not measured: Pm2HoBe after structural relaxation at the GGA-PBE level of DFT.

ΔE to the lowest computed polymorph: 0 meV/atom
space-group type: P4/mmm (123)
calculated formation energy: 0.113 eV/atom

a b c (Å): 3.559 3.559 8.575
angles (deg): 90.00 90.00 90.00
Element x y z (fractional)
Pm1 0.000 0.000 0.198
Pm2 0.000 0.000 0.802
Ho1 0.500 0.500 0.500
Be1 0.500 0.500 0.000


3.
Computed, not measured: PmHo2Be after structural relaxation at the GGA-PBE level of DFT.

ΔE to the lowest computed polymorph: 0 meV/atom
space-group type: P4/mmm (123)
calculated formation energy: 0.065 eV/atom

a b c (Å): 3.456 3.456 8.700
angles (deg): 90.00 90.00 90.00
Element x y z (fractional)
Pm1 0.000 0.000 0.000
Ho1 0.500 0.500 0.311
Ho2 0.500 0.500 0.689
Be1 0.000 0.000 0.500


4.
Computed, not measured: PmHoBePt after structural relaxation at the GGA-PBE level of DFT.

space-group type: F-43m (216)
calculated formation energy: -0.484 eV/atom

a b c (Å): 7.017 7.017 7.017
angles (deg): 90.00 90.00 90.00
Element x y z (fractional)
Pm1 0.000 0.000 0.000
Pm2 0.000 0.500 0.500
Pm3 0.500 0.000 0.500
Pm4 0.500 0.500 0.000
Ho1 0.000 0.000 0.500
Ho2 0.000 0.500 0.000
Ho3 0.500 0.000 0.000
Ho4 0.500 0.500 0.500
Be1 0.250 0.250 0.750
Be2 0.250 0.750 0.250
Be3 0.750 0.250 0.250
Be4 0.750 0.750 0.750
Pt1 0.250 0.250 0.250
Pt2 0.250 0.750 0.750
Pt3 0.750 0.250 0.750
Pt4 0.750 0.750 0.250


5.
Computed, not measured: Pm2HoBe3Pt4 after structural relaxation at the GGA-PBE level of DFT.

space-group type: P-4m2 (115)
calculated formation energy: -0.849 eV/atom

a b c (Å): 4.080 4.080 10.893
angles (deg): 90.00 90.00 90.00
Element x y z (fractional)
Pm1 0.000 0.500 0.224
Pm2 0.500 0.000 0.776
Ho1 0.000 0.000 0.500
Be1 0.000 0.500 0.893
Be2 0.500 0.000 0.107
Be3 0.500 0.500 0.500
Pt1 0.000 0.000 0.000
Pt2 0.000 0.500 0.670
Pt3 0.500 0.000 0.330
Pt4 0.500 0.500 0.000


6.
Computed, not measured: PmHoBeRh after structural relaxation at the GGA-PBE level of DFT.

space-group type: F-43m (216)
calculated formation energy: -0.310 eV/atom

a b c (Å): 6.940 6.940 6.940
angles (deg): 90.00 90.00 90.00
Element x y z (fractional)
Pm1 0.000 0.000 0.000
Pm2 0.000 0.500 0.500
Pm3 0.500 0.000 0.500
Pm4 0.500 0.500 0.000
Ho1 0.000 0.000 0.500
Ho2 0.000 0.500 0.000
Ho3 0.500 0.000 0.000
Ho4 0.500 0.500 0.500
Be1 0.250 0.250 0.750
Be2 0.250 0.750 0.250
Be3 0.750 0.250 0.250
Be4 0.750 0.750 0.750
Rh1 0.250 0.250 0.250
Rh2 0.250 0.750 0.750
Rh3 0.750 0.250 0.750
Rh4 0.750 0.750 0.250


7.
Computed, not measured: PmHoBe2Si2 after structural relaxation at the GGA-PBE level of DFT.

formation energy from raw total energies: -61.7 kJ/mol of atoms
space-group type: P-3m1 (164)

a b c (Å): 3.896 3.896 8.206
angles (deg): 90.00 90.00 120.00
Element x y z (fractional)
Pm1 0.000 0.000 0.000
Ho1 0.000 0.000 0.500
Be1 0.333 0.667 0.742
Be2 0.667 0.333 0.258
Si1 0.333 0.667 0.258
Si2 0.667 0.333 0.742


8.
Computed, not measured: PmHoBeSi after structural relaxation at the GGA-PBE level of DFT.

formation energy from raw total energies: -20.1 kJ/mol of atoms
space-group type: F-43m (216)

a b c (Å): 6.969 6.969 6.969
angles (deg): 90.00 90.00 90.00
Element x y z (fractional)
Pm1 0.000 0.000 0.000
Pm2 0.000 0.500 0.500
Pm3 0.500 0.000 0.500
Pm4 0.500 0.500 0.000
Ho1 0.000 0.000 0.500
Ho2 0.000 0.500 0.000
Ho3 0.500 0.000 0.000
Ho4 0.500 0.500 0.500
Be1 0.250 0.250 0.750
Be2 0.250 0.750 0.250
Be3 0.750 0.250 0.250
Be4 0.750 0.750 0.750
Si1 0.250 0.250 0.250
Si2 0.250 0.750 0.750
Si3 0.750 0.250 0.750
Si4 0.750 0.750 0.250


9.
Computed, not measured: PrHo2Be after structural relaxation at the GGA-PBE level of DFT.

ΔE to the lowest computed polymorph: 0 meV/atom
space-group type: P4/mmm (123)
calculated formation energy: 0.064 eV/atom

a b c (Å): 3.462 3.462 8.812
angles (deg): 90.00 90.00 90.00
Element x y z (fractional)
Pr1 0.000 0.000 0.000
Ho1 0.500 0.500 0.314
Ho2 0.500 0.500 0.686
Be1 0.000 0.000 0.500


10.
Computed, not measured: PrHo2Be after structural relaxation at the GGA-PBE level of DFT.

ΔE to the lowest computed polymorph: 650 meV/atom
space-group type: R-3m (166)
calculated formation energy: 0.714 eV/atom

a b c (Å): 3.484 3.484 34.317
angles (deg): 90.00 90.00 120.00
Element x y z (fractional)
Pr1 0.000 0.000 0.000
Pr2 0.333 0.667 0.667
Pr3 0.667 0.333 0.333
Ho1 0.000 0.000 0.417
Ho2 0.000 0.000 0.583
Ho3 0.333 0.667 0.083
Ho4 0.333 0.667 0.250
Ho5 0.667 0.333 0.750
Ho6 0.667 0.333 0.917
Be1 0.000 0.000 0.500
Be2 0.333 0.667 0.167
Be3 0.667 0.333 0.833


11.
Computed, not measured: PrHoBeZn after structural relaxation at the GGA-PBE level of DFT.

space-group type: F-43m (216)
calculated formation energy: -0.055 eV/atom

a b c (Å): 7.122 7.122 7.122
angles (deg): 90.00 90.00 90.00
Element x y z (fractional)
Pr1 0.000 0.000 0.000
Pr2 0.000 0.500 0.500
Pr3 0.500 0.000 0.500
Pr4 0.500 0.500 0.000
Ho1 0.000 0.000 0.500
Ho2 0.000 0.500 0.000
Ho3 0.500 0.000 0.000
Ho4 0.500 0.500 0.500
Be1 0.250 0.250 0.250
Be2 0.250 0.750 0.750
Be3 0.750 0.250 0.750
Be4 0.750 0.750 0.250
Zn1 0.250 0.250 0.750
Zn2 0.250 0.750 0.250
Zn3 0.750 0.250 0.250
Zn4 0.750 0.750 0.750


12.
Computed, not measured: HoBe2Pt2 after structural relaxation at the GGA-PBE level of DFT.

space-group type: P4/nmm (129)
calculated formation energy: -0.926 eV/atom

a b c (Å): 3.996 3.996 9.527
angles (deg): 90.00 90.00 90.00
Element x y z (fractional)
Ho1 0.250 0.250 0.249
Ho2 0.750 0.750 0.751
Be1 0.250 0.250 0.627
Be2 0.250 0.750 0.000
Be3 0.750 0.250 0.000
Be4 0.750 0.750 0.373
Pt1 0.250 0.250 0.872
Pt2 0.250 0.750 0.500
Pt3 0.750 0.250 0.500
Pt4 0.750 0.750 0.128


| no. | raw total energy (eV/atom) |
| --- | --- |
| 1 | -3.706 |
| 2 | -4.338 |
| 3 | -4.344 |
| 4 | -5.258 |
| 5 | -5.791 |
| 6 | -5.411 |
| 7 | -5.244 |
| 8 | -4.827 |
| 9 | -4.351 |
| 10 | -3.701 |
| 11 | -3.644 |
| 12 | -5.748 |